Below is an optimized crystal structure of TaNbIn2Ga, with properties calculated at the GGA-PBE level.

Values from the calculation:
E_form ... 6.3 eV/f.u.
Total magnetic moment ... 0.000 μB/f.u.

a = 4.8699 Å, b = 4.8699 Å, c = 4.8957 Å
α = 90.00°, β = 90.00°, γ = 90.00°
Closest atoms and distances in Å follow each position.
Element x y z (fractional)
Ta 0.0000 0.0000 0.0000  4 Nb 3.44, 8 In 3.45
Nb 0.5000 0.5000 0.0000  2 Ga 2.45
In 0.0000 0.5000 0.5000  2 Ga 2.43
In 0.5000 0.0000 0.5000  2 Ga 2.43
Ga 0.5000 0.5000 0.5000  4 In 2.43, 2 Nb 2.45



Below is an optimized crystal structure of CeEuY, with properties calculated at the GGA-PBE level.

Values from the calculation:
E_form ... 0.4 eV/f.u.
Total magnetic moment ... 6.596 μB/f.u.

a = 3.6024 Å, b = 3.6024 Å, c = 8.9697 Å
α = 90.00°, β = 90.00°, γ = 120.00°
Closest atoms and distances in Å follow each position.
Element x y z (fractional)
Ce 0.0000 0.0000 0.0000  3 Y 3.50, 6 Ce 3.60, 3 Eu 3.70
Eu 0.6667 0.3333 0.3408  6 Eu 3.60, 3 Ce 3.70, 3 Y 3.73
Y 0.3333 0.6667 0.6866  3 Ce 3.50, 6 Y 3.60, 3 Eu 3.73



Below is an optimized crystal structure of HfHg2I8, with properties calculated at the GGA-PBE level.

Values from the calculation:
Formation energy from raw total energies ... -0.51 eV per atom
Total magnetic moment ... 0.000 μB/f.u.

a = 8.9261 Å, b = 8.9261 Å, c = 7.1023 Å
α = 94.36°, β = 94.36°, γ = 73.13°
Closest atoms and distances in Å follow each position.
Element x y z (fractional)
Hf 0.0000 0.0000 0.0000  6 I 2.85-2.88
Hg 0.2046 0.2046 0.6794  3 I 2.67-2.91
Hg 0.7954 0.7954 0.3206  3 I 2.67-2.91
I 0.1200 0.7292 0.2228  1 Hf 2.88, 1 Hg 2.91
I 0.1711 0.1711 0.2393  1 Hf 2.85, 1 Hg 3.12
I 0.2708 0.8800 0.7772  1 Hf 2.88, 1 Hg 2.91
I 0.3919 0.3919 0.7215  1 Hg 2.67
I 0.6081 0.6081 0.2785  1 Hg 2.67
I 0.7292 0.1200 0.2228  1 Hf 2.88, 1 Hg 2.91
I 0.8289 0.8289 0.7607  1 Hf 2.85, 1 Hg 3.12
I 0.8800 0.2708 0.7772  1 Hf 2.88, 1 Hg 2.91



Below is an optimized crystal structure of Ge2SeS, with properties calculated at the GGA-PBE level.

Values from the calculation:
Formation energy from raw total energies ... 0.03 eV per atom
Total magnetic moment ... 0.000 μB/f.u.

a = 6.2620 Å, b = 6.2620 Å, c = 12.2354 Å
α = 90.00°, β = 90.00°, γ = 90.00°
Closest atoms and distances in Å follow each position.
Element x y z (fractional)
Ge 0.2331 0.2500 0.1250  2 S 2.63, 2 Se 2.75
Ge 0.2500 0.7331 0.3750  2 S 2.63, 2 Se 2.75
Ge 0.2500 0.7669 0.8750  2 S 2.63, 2 Se 2.75
Ge 0.2669 0.2500 0.6250  2 S 2.63, 2 Se 2.75
Ge 0.7331 0.7500 0.6250  2 S 2.63, 2 Se 2.75
Ge 0.7500 0.2331 0.8750  2 S 2.63, 2 Se 2.75
Ge 0.7500 0.2669 0.3750  2 S 2.63, 2 Se 2.75
Ge 0.7669 0.7500 0.1250  2 S 2.63, 2 Se 2.75
Se 0.0000 0.0000 0.5000  4 Ge 2.75
Se 0.0000 0.5000 0.7500  4 Ge 2.75
Se 0.5000 0.0000 0.2500  4 Ge 2.75
Se 0.5000 0.5000 0.0000  4 Ge 2.75
S 0.0000 0.0000 0.0000  4 Ge 2.63
S 0.0000 0.5000 0.2500  4 Ge 2.63
S 0.5000 0.0000 0.7500  4 Ge 2.63
S 0.5000 0.5000 0.5000  4 Ge 2.63



Below is an optimized crystal structure of Ac2Ge3BiPt4, with properties calculated at the GGA-PBE level.

Values from the calculation:
E_form ... -8.4 eV/f.u.
Total magnetic moment ... 0.000 μB/f.u.

a = 4.4894 Å, b = 4.4894 Å, c = 10.9783 Å
α = 90.00°, β = 90.00°, γ = 90.00°
Closest atoms and distances in Å follow each position.
Element x y z (fractional)
Ac 0.0000 0.5000 0.2351  8 Pt 3.39-3.42, 6 Ge 3.43-3.67, 2 Bi 3.67
Ac 0.5000 0.0000 0.7649  8 Pt 3.39-3.42, 6 Ge 3.43-3.67, 2 Bi 3.67
Ge 0.0000 0.5000 0.8832  5 Pt 2.48-2.59
Ge 0.5000 0.0000 0.1168  5 Pt 2.48-2.59
Ge 0.5000 0.5000 0.5000  4 Pt 2.83
Bi 0.0000 0.0000 0.5000  4 Pt 2.83
Pt 0.0000 0.0000 0.0000  4 Ge 2.59
Pt 0.0000 0.5000 0.6569  1 Ge 2.48
Pt 0.5000 0.0000 0.3431  1 Ge 2.48
Pt 0.5000 0.5000 0.0000  4 Ge 2.59



Below is an optimized crystal structure of Mg2BeBi2, with properties calculated at the GGA-PBE level.

Values from the calculation:
E_form ... 1.5 eV/f.u.
Total magnetic moment ... 0.000 μB/f.u.

a = 7.4892 Å, b = 7.4892 Å, c = 4.5630 Å
α = 90.00°, β = 90.00°, γ = 90.00°
Closest atoms and distances in Å follow each position.
Element x y z (fractional)
Mg 0.1458 0.3542 0.0000  6 Bi 3.00-3.29, 1 Mg 3.09
Mg 0.3542 0.8542 0.0000  6 Bi 3.00-3.29, 1 Mg 3.09
Mg 0.6458 0.1458 0.0000  6 Bi 3.00-3.29, 1 Mg 3.09
Mg 0.8542 0.6458 0.0000  6 Bi 3.00-3.29, 1 Mg 3.09
Be 0.0000 0.0000 0.5000  4 Bi 2.78
Be 0.5000 0.5000 0.5000  4 Bi 2.78
Bi 0.1696 0.6696 0.5000  2 Be 2.78, 2 Mg 3.00
Bi 0.3304 0.1696 0.5000  2 Be 2.78, 2 Mg 3.00
Bi 0.6696 0.8304 0.5000  2 Be 2.78, 2 Mg 3.00
Bi 0.8304 0.3304 0.5000  2 Be 2.78, 2 Mg 3.00